[1]
Compound: Sr2CrBr
Source: Alexandria via LeMat-Bulk
Functional: PBE-GGA
Structure: optimized geometry

a = 5.2945 Å, b = 6.8009 Å, c = 6.8009 Å
α = 35.42°, β = 90.00°, γ = 90.00°
Last column: nearest neighbours and their distance in Å.
Atoms (fractional coordinates):
Sr 0.0000 0.0000 0.0000  4 Br 3.37, 3 Cr 3.46-3.66
Sr 0.5000 0.2680 0.2680  1 Br 3.21, 4 Cr 3.39
Cr 0.0000 0.7327 0.7327  7 Sr 3.39-3.66
Br 0.5000 0.5155 0.5155  5 Sr 3.21-3.37

=====

[2]
Compound: Sr2CrBr
Source: Alexandria via LeMat-Bulk
Functional: PBE-GGA
Structure: optimized geometry

a = 3.9041 Å, b = 3.9041 Å, c = 8.6897 Å
α = 90.00°, β = 90.00°, γ = 90.00°
Last column: nearest neighbours and their distance in Å.
Atoms (fractional coordinates):
Sr 0.0000 0.0000 0.2349  4 Cr 3.43, 4 Br 3.60
Sr 0.0000 0.0000 0.7651  4 Cr 3.43, 4 Br 3.60
Cr 0.5000 0.5000 0.0000  8 Sr 3.43
Br 0.5000 0.5000 0.5000  8 Sr 3.60, 4 Br 3.90

=====

[3]
Compound: Sr2CrBr
Source: Alexandria via LeMat-Bulk
Functional: PBE-GGA
Structure: optimized geometry

a = 5.8868 Å, b = 5.8868 Å, c = 5.8868 Å
α = 60.00°, β = 60.00°, γ = 60.00°
Last column: nearest neighbours and their distance in Å.
Atoms (fractional coordinates):
Sr 0.0000 0.0000 0.0000  4 Cr 3.60, 4 Sr 3.60
Sr 0.2500 0.2500 0.2500  4 Br 3.60, 4 Sr 3.60
Cr 0.7500 0.7500 0.7500  4 Br 3.60, 4 Sr 3.60
Br 0.5000 0.5000 0.5000  4 Cr 3.60, 4 Sr 3.60

=====

no.,formation energy (no corrections) (eV per formula unit),E above lowest polymorph (eV/atom),total energy (eV per atom)
1,-0.79,0.099,-3.86
2,-1.08,0.026,-3.93
3,1.14,0.580,-3.38